[1]
This record from the Open Quantum Materials Database describes a geometry-optimized NdZrB4 structure. The functional is PBE.

Output
Magnetization = 0.00 μB/atom
SG = P6/mmm
Raw total energy = -43.98 eV/cell

a = 3.2402 Å, b = 3.2402 Å, c = 7.7410 Å
α = 90.00°, β = 90.00°, γ = 120.00°
Element x y z (fractional)
1 Nd 0.0000 0.0000 0.0000
2 Zr 0.0000 0.0000 0.5000
3 B 0.3333 0.6667 0.2756
4 B 0.3333 0.6667 0.7244
5 B 0.6667 0.3333 0.2756
6 B 0.6667 0.3333 0.7244



[2]
This record from the Open Quantum Materials Database describes a geometry-optimized Ni2B structure. The functional is PBE.

Output
Magnetization = 0.00 μB/atom
SG = P-62m
Raw total energy = -55.52 eV/cell

a = 5.4537 Å, b = 5.4537 Å, c = 3.1339 Å
α = 90.00°, β = 90.00°, γ = 120.00°
Element x y z (fractional)
1 Ni 0.0000 0.2595 0.0000
2 Ni 0.0000 0.5965 0.5000
3 Ni 0.2595 0.0000 0.0000
4 Ni 0.4035 0.4035 0.5000
5 Ni 0.5965 0.0000 0.5000
6 Ni 0.7405 0.7405 0.0000
7 B 0.0000 0.0000 0.5000
8 B 0.3333 0.6667 0.0000
9 B 0.6667 0.3333 0.0000



[3]
This record from the Open Quantum Materials Database describes a geometry-optimized Ni5B2 structure. The functional is PBE.

Output
Magnetization = 0.00 μB/atom
SG = C2/c
Raw total energy = -86.33 eV/cell

a = 6.1022 Å, b = 6.1022 Å, c = 5.1632 Å
α = 96.99°, β = 96.99°, γ = 43.45°
Element x y z (fractional)
1 Ni 0.0838 0.9162 0.7500
2 Ni 0.1373 0.2989 0.3143
3 Ni 0.2971 0.5171 0.0741
4 Ni 0.2989 0.1373 0.8143
5 Ni 0.4829 0.7029 0.4259
6 Ni 0.5171 0.2971 0.5741
7 Ni 0.7011 0.8627 0.1857
8 Ni 0.7029 0.4829 0.9259
9 Ni 0.8627 0.7011 0.6857
10 Ni 0.9162 0.0838 0.2500
11 B 0.0908 0.6854 0.4195
12 B 0.3146 0.9092 0.0805
13 B 0.6854 0.0908 0.9195
14 B 0.9092 0.3146 0.5805